[1]
A plane-wave DFT calculation with PBEsol was carried out for MgScCr2 after structural relaxation.

It has space group C2/m (No. 12), with a = 9.1979 Å, b = 2.6138 Å, c = 5.0806 Å, α = 90.00°, β = 95.64° and γ = 90.00°. The asymmetric unit holds Mg at (0.0000, 0.0000, 0.0000), Sc at (0.0000, 0.5000, 0.5000) and Cr at (0.2485, 0.5000, 0.2600).

As for the energy of formation from the pure elements: 697.2 meV per atom. For the total moment, the calculation gives 0.0004 μB per atom. Its total energy is -0.4781 Ry per atom. The density of states at the Fermi level is 9.26 states/eV per cell.


[2]
A plane-wave DFT calculation with PBEsol was carried out for MgScCr3 after structural relaxation.

It has space group Pm-3m (No. 221), with a = 4.6640 Å, b = 4.6640 Å, c = 4.6640 Å, α = 90.00°, β = 90.00° and γ = 90.00°. The asymmetric unit holds Mg at (0.0000, 0.0000, 0.0000), Sc at (0.5000, 0.5000, 0.5000) and Cr at (0.0000, 0.5000, 0.5000).

As for the energy of formation from the pure elements: 1643.3 meV per atom. For the total moment, the calculation gives 2.0958 μB per atom. Its total energy is -0.4532 Ry per atom. The density of states at the Fermi level is 4.43 states/eV per cell.


[3]
A plane-wave DFT calculation with PBEsol was carried out for Mg2ScTiCr after structural relaxation.

It has space group P4/mmm (No. 123), with a = 5.0115 Å, b = 5.0115 Å, c = 4.1290 Å, α = 90.00°, β = 90.00° and γ = 90.00°. The asymmetric unit holds Mg at (0.0000, 0.5000, 0.0000), Sc at (0.0000, 0.0000, 0.5000), Ti at (0.5000, 0.5000, 0.5000) and Cr at (0.5000, 0.5000, 0.0000).

As for the energy of formation from the pure elements: 560.7 meV per atom. For the total moment, the calculation gives 0.0429 μB per atom. Its total energy is -0.3793 Ry per atom. The density of states at the Fermi level is 4.80 states/eV per cell.


[4]
A plane-wave DFT calculation with PBEsol was carried out for MgSc2TlCr after structural relaxation.

It has space group P4/mmm (No. 123), with a = 4.7212 Å, b = 4.7212 Å, c = 5.1650 Å, α = 90.00°, β = 90.00° and γ = 90.00°. The asymmetric unit holds Mg at (0.0000, 0.0000, 0.0000), Sc at (0.0000, 0.5000, 0.5000), Tl at (0.5000, 0.5000, 0.0000) and Cr at (0.5000, 0.5000, 0.5000).

As for the energy of formation from the pure elements: 371.8 meV per atom. For the total moment, the calculation gives 0.1677 μB per atom. Its total energy is -0.3813 Ry per atom. The density of states at the Fermi level is 4.31 states/eV per cell.


[5]
A plane-wave DFT calculation with PBEsol was carried out for Mg2CrSe after structural relaxation.

It has space group P4/mmm (No. 123), with a = 4.4795 Å, b = 4.4795 Å, c = 3.7131 Å, α = 90.00°, β = 90.00° and γ = 90.00°. The asymmetric unit holds Mg at (0.0000, 0.5000, 0.0000), Cr at (0.0000, 0.0000, 0.5000) and Se at (0.5000, 0.5000, 0.5000).

For the total moment, the calculation gives 0.9944 μB per atom. Its total energy is -0.3186 Ry per atom. The density of states at the Fermi level is 1.69 states/eV per cell. For the energy relative to the elements, uncorrected, the calculation gives 0.05 eV per atom.


[6]
A plane-wave DFT calculation with PBEsol was carried out for Mg2CrSe after structural relaxation.

It has space group R3m (No. 160, hexagonal axes), with a = 3.1333 Å, b = 3.1333 Å, c = 25.9892 Å, α = 90.00°, β = 90.00° and γ = 120.00°. The asymmetric unit holds Mg at (0.0000, 0.0000, 0.0000), Mg at (0.0000, 0.0000, 0.2325), Cr at (0.0000, 0.0000, 0.7488) and Se at (0.0000, 0.0000, 0.4727).

For the total moment, the calculation gives 0.1556 μB per atom. Its total energy is -0.3219 Ry per atom. The density of states at the Fermi level is 7.35 states/eV per cell. For the energy relative to the elements, uncorrected, the calculation gives 0.00 eV per atom.


[7]
A plane-wave DFT calculation with PBEsol was carried out for Mg4CrSe after structural relaxation.

It has space group F-43m (No. 216), with a = 8.0191 Å, b = 8.0191 Å, c = 8.0191 Å, α = 90.00°, β = 90.00° and γ = 90.00°. The asymmetric unit holds Mg at (0.1252, 0.1252, 0.1252), Cr at (0.0000, 0.0000, 0.5000) and Se at (0.2500, 0.2500, 0.7500).

For the total moment, the calculation gives 0.7364 μB per atom. Its total energy is -0.2290 Ry per atom. The density of states at the Fermi level is 10.72 states/eV per cell. For the energy relative to the elements, uncorrected, the calculation gives 0.38 eV per atom.


[8]
A plane-wave DFT calculation with PBEsol was carried out for MgCrSe2 after structural relaxation.

It has space group I-42d (No. 122), with a = 5.8047 Å, b = 5.8047 Å, c = 11.7531 Å, α = 90.00°, β = 90.00° and γ = 90.00°. The asymmetric unit holds Mg at (0.0000, 0.0000, 0.0000), Cr at (0.0000, 0.0000, 0.5000) and Se at (0.2341, 0.2500, 0.6250).

For the total moment, the calculation gives 1.0000 μB per atom. Its total energy is -0.4023 Ry per atom. The density of states at the Fermi level is 8.12 states/eV per cell. For the energy relative to the elements, uncorrected, the calculation gives -0.56 eV per atom.


[9]
A plane-wave DFT calculation with PBEsol was carried out for MgCrSe2 after structural relaxation.

It has space group R-3m (No. 166, hexagonal axes), with a = 3.5917 Å, b = 3.5917 Å, c = 23.8638 Å, α = 90.00°, β = 90.00° and γ = 120.00°. The asymmetric unit holds Mg at (0.0000, 0.0000, 0.0000), Cr at (0.0000, 0.0000, 0.5000) and Se at (0.0000, 0.0000, 0.1095).

For the total moment, the calculation gives 0.6203 μB per atom. Its total energy is -0.3907 Ry per atom. The density of states at the Fermi level is 5.25 states/eV per cell. For the energy relative to the elements, uncorrected, the calculation gives -0.40 eV per atom.


[10]
A plane-wave DFT calculation with PBEsol was carried out for MgCrSe2 after structural relaxation.

It has space group P4/mmm (No. 123), with a = 4.6632 Å, b = 4.6632 Å, c = 3.2921 Å, α = 90.00°, β = 90.00° and γ = 90.00°. The asymmetric unit holds Mg at (0.0000, 0.0000, 0.0000), Cr at (0.5000, 0.5000, 0.0000) and Se at (0.0000, 0.5000, 0.5000).

For the total moment, the calculation gives 0.9186 μB per atom. Its total energy is -0.3840 Ry per atom. The density of states at the Fermi level is 1.14 states/eV per cell. For the energy relative to the elements, uncorrected, the calculation gives -0.31 eV per atom.


[11]
A plane-wave DFT calculation with PBEsol was carried out for MgCr4Se after structural relaxation.

It has space group F-43m (No. 216), with a = 6.8428 Å, b = 6.8428 Å, c = 6.8428 Å, α = 90.00°, β = 90.00° and γ = 90.00°. The asymmetric unit holds Mg at (0.0000, 0.0000, 0.0000), Cr at (0.1254, 0.1254, 0.3746) and Se at (0.2500, 0.2500, 0.7500).

For the total moment, the calculation gives 0.0004 μB per atom. Its total energy is -0.5323 Ry per atom. The density of states at the Fermi level is 33.50 states/eV per cell. For the energy relative to the elements, uncorrected, the calculation gives 0.51 eV per atom.


[12]
A plane-wave DFT calculation with PBEsol was carried out for Mg4CrSi after structural relaxation.

It has space group F-43m (No. 216), with a = 7.8589 Å, b = 7.8589 Å, c = 7.8589 Å, α = 90.00°, β = 90.00° and γ = 90.00°. The asymmetric unit holds Mg at (0.1252, 0.1252, 0.1252), Cr at (0.0000, 0.0000, 0.5000) and Si at (0.2500, 0.2500, 0.7500).

For the total moment, the calculation gives 0.6849 μB per atom. Its total energy is -0.2403 Ry per atom. The density of states at the Fermi level is 10.25 states/eV per cell. For the energy relative to the elements, uncorrected, the calculation gives 0.54 eV per atom.


Copy entry 10 word for word.
A plane-wave DFT calculation with PBEsol was carried out for MgCrSe2 after structural relaxation.

It has space group P4/mmm (No. 123), with a = 4.6632 Å, b = 4.6632 Å, c = 3.2921 Å, α = 90.00°, β = 90.00° and γ = 90.00°. The asymmetric unit holds Mg at (0.0000, 0.0000, 0.0000), Cr at (0.5000, 0.5000, 0.0000) and Se at (0.0000, 0.5000, 0.5000).

For the total moment, the calculation gives 0.9186 μB per atom. Its total energy is -0.3840 Ry per atom. The density of states at the Fermi level is 1.14 states/eV per cell. For the energy relative to the elements, uncorrected, the calculation gives -0.31 eV per atom.


- Which formula does entry 4 have?
  MgSc2TlCr


Copy entry 2 word for word.
A plane-wave DFT calculation with PBEsol was carried out for MgScCr3 after structural relaxation.

It has space group Pm-3m (No. 221), with a = 4.6640 Å, b = 4.6640 Å, c = 4.6640 Å, α = 90.00°, β = 90.00° and γ = 90.00°. The asymmetric unit holds Mg at (0.0000, 0.0000, 0.0000), Sc at (0.5000, 0.5000, 0.5000) and Cr at (0.0000, 0.5000, 0.5000).

As for the energy of formation from the pure elements: 1643.3 meV per atom. For the total moment, the calculation gives 2.0958 μB per atom. Its total energy is -0.4532 Ry per atom. The density of states at the Fermi level is 4.43 states/eV per cell.